1.
# TlZnCd2Hg8 PBE optimized geometry
# calculated formation energy	77.8	meV/atom
# energy	-0.579	eV per atom
# V	27.201	A^3/atom
data_TlZnCd2Hg8
_chemical_formula_sum 'Tl1 Zn1 Cd2 Hg8'
_symmetry_space_group_name_H-M 'P -3 m 1'
_symmetry_Int_Tables_number 164
_symmetry_space_group_name_Hall '-P 3 2"'
_cell_length_a 6.4876
_cell_length_b 6.4876
_cell_length_c 8.9551
_cell_angle_alpha 90.00
_cell_angle_beta 90.00
_cell_angle_gamma 120.00
loop_
_atom_site_label
_atom_site_fract_x
_atom_site_fract_y
_atom_site_fract_z
Tl1 0.0000 0.0000 0.0000
Zn1 0.0000 0.0000 0.5000
Cd1 0.3333 0.6667 0.3812
Hg1 0.1764 0.3529 0.7120
Hg2 0.3333 0.6667 0.0378


2.
# ZrTlCdHg PBE optimized geometry
# calculated formation energy	-78.3	meV/atom
# energy	-3.111	eV per atom
# V	22.381	A^3/atom
# excess energy over the best structure of this formula in the dataset	0.00	kcal/mol of atoms
data_ZrTlCdHg
_chemical_formula_sum 'Zr1 Tl1 Cd1 Hg1'
_symmetry_space_group_name_H-M 'P m m m'
_symmetry_Int_Tables_number 47
_cell_length_a 4.382
_cell_length_b 4.448
_cell_length_c 4.593
_cell_angle_alpha 90.00
_cell_angle_beta 90.00
_cell_angle_gamma 90.00
loop_
_symmetry_equiv_pos_as_xyz
'x,y,z'
'-x,-y,-z'
'-x,-y,z'
'x,y,-z'
'x,-y,-z'
'-x,y,z'
'-x,y,-z'
'x,-y,z'
loop_
_atom_site_label
_atom_site_fract_x
_atom_site_fract_y
_atom_site_fract_z
Zr1 0.000 0.000 0.000
Tl1 0.500 0.500 0.000
Cd1 0.000 0.500 0.500
Hg1 0.500 0.000 0.500


> calculated formation energy of number 1 (TlZnCd2Hg8)?

77.8 meV/atom